i.
Density functional theory data (PBE) for Ho2MgAg3 after structural relaxation.

Unit cell a=3.536 b=3.536 c=10.629 alpha=90.00 beta=90.00 gamma=90.00
Fractional coordinates of all 6 atoms:
1 Ho 0.500 0.500 0.175
2 Ho 0.500 0.500 0.825
3 Ag 0.000 0.000 0.000
4 Ag 0.000 0.000 0.350
5 Ag 0.000 0.000 0.650
6 Mg 0.500 0.500 0.500

Output
Symmetry   P4/mmm (123)
Total magnetization   0.000 μB/f.u.

ii.
Density functional theory data (PBE) for Ho2MgAg3 after structural relaxation.

Unit cell a=5.013 b=5.013 c=12.204 alpha=90.00 beta=90.00 gamma=120.00
Fractional coordinates of all 12 atoms:
1 Mg 0.667 0.333 0.335
2 Mg 0.333 0.667 0.665
3 Ag 0.333 0.667 0.916
4 Ag 0.000 0.000 0.746
5 Ag 0.000 0.000 0.254
6 Ag 0.667 0.333 0.084
7 Ag 0.667 0.333 0.577
8 Ag 0.333 0.667 0.423
9 Ho 0.667 0.333 0.823
10 Ho 0.000 0.000 0.500
11 Ho 0.333 0.667 0.177
12 Ho 0.000 0.000 0.000

Output
Symmetry   P-3m1 (164)
Total magnetization   0.000 μB/f.u.

What should be chosen as the least stable of them? Choose i.

i.
Density functional theory data (PBE) for HoMg3Ag2 after structural relaxation.

Unit cell a=4.393 b=7.120 c=8.531 alpha=90.00 beta=90.00 gamma=90.00
Fractional coordinates of all 12 atoms:
1 Ho 0.500 0.531 0.576
2 Ho 0.500 0.031 0.424
3 Mg 0.000 0.971 0.081
4 Mg 0.000 0.471 0.919
5 Mg 0.500 0.142 0.811
6 Mg 0.000 0.854 0.700
7 Mg 0.000 0.354 0.300
8 Mg 0.500 0.642 0.189
9 Ag 0.000 0.744 0.376
10 Ag 0.000 0.244 0.624
11 Ag 0.500 0.758 0.884
12 Ag 0.500 0.258 0.116

Output
Symmetry   Pmc2_1 (26)
Total magnetization   0.000 μB/f.u.

ii.
Density functional theory data (PBE) for HoMg3Ag2 after structural relaxation.

Unit cell a=4.448 b=9.219 c=8.296 alpha=123.30 beta=90.00 gamma=103.96
Fractional coordinates of all 12 atoms:
1 Ag 0.767 0.534 0.253
2 Ag 0.233 0.466 0.747
3 Ag 0.494 0.988 0.825
4 Ag 0.506 0.012 0.175
5 Mg 0.651 0.303 0.812
6 Mg 0.950 0.901 0.591
7 Mg 0.349 0.697 0.188
8 Mg 0.687 0.374 0.476
9 Mg 0.313 0.626 0.524
10 Mg 0.050 0.099 0.409
11 Ho 0.119 0.237 0.086
12 Ho 0.881 0.763 0.914

Output
Symmetry   C2/m (12)
Total magnetization   0.000 μB/f.u.

What should be chosen as the least stable of them? Choose ii.